[1]
The following is a SCAN calculation of a PBEsol-optimized structure of Cs3Sm7Se12, from Alexandria.

Computed properties:
Space-group type: No. 31
Total magnetization: 0.000 μB/atom
Formation energy (no corrections): -2066.6 meV/atom
Calculated total energy: -32.32 eV/atom

Geometry as CIF:
```
data_Cs3Sm7Se12
_chemical_formula_sum 'Cs6 Sm14 Se24'
_cell_length_a 4.200
_cell_length_b 12.894
_cell_length_c 26.325
_cell_angle_alpha 90.00
_cell_angle_beta 90.00
_cell_angle_gamma 90.00
_symmetry_space_group_name_H-M 'P 1'
_symmetry_Int_Tables_number 1
loop_
_symmetry_equiv_pos_as_xyz
'x,y,z'
loop_
_atom_site_label
_atom_site_type_symbol
_atom_site_fract_x
_atom_site_fract_y
_atom_site_fract_z
Cs1 Cs 0.500 0.535 0.130
Cs2 Cs 0.500 0.959 0.863
Cs3 Cs 0.000 0.041 0.363
Cs4 Cs 0.000 0.465 0.630
Cs5 Cs 0.500 0.806 0.473
Cs6 Cs 0.000 0.194 0.973
Sm1 Sm 0.500 0.466 0.418
Sm2 Sm 0.500 0.031 0.585
Sm3 Sm 0.000 0.969 0.085
Sm4 Sm 0.000 0.534 0.918
Sm5 Sm 0.000 0.244 0.499
Sm6 Sm 0.500 0.756 0.999
Sm7 Sm 0.500 0.330 0.818
Sm8 Sm 0.500 0.174 0.182
Sm9 Sm 0.000 0.826 0.682
Sm10 Sm 0.000 0.670 0.318
Sm11 Sm 0.500 0.654 0.787
Sm12 Sm 0.500 0.844 0.213
Sm13 Sm 0.000 0.156 0.713
Sm14 Sm 0.000 0.346 0.287
Se1 Se 0.500 0.393 0.519
Se2 Se 0.500 0.091 0.480
Se3 Se 0.000 0.909 0.980
Se4 Se 0.000 0.607 0.019
Se5 Se 0.500 0.304 0.711
Se6 Se 0.500 0.198 0.289
Se7 Se 0.000 0.802 0.789
Se8 Se 0.000 0.696 0.211
Se9 Se 0.500 0.676 0.678
Se10 Se 0.500 0.822 0.323
Se11 Se 0.000 0.178 0.823
Se12 Se 0.000 0.324 0.178
Se13 Se 0.500 0.382 0.924
Se14 Se 0.500 0.121 0.076
Se15 Se 0.000 0.879 0.576
Se16 Se 0.000 0.618 0.424
Se17 Se 0.500 0.506 0.304
Se18 Se 0.500 0.993 0.698
Se19 Se 0.000 0.007 0.198
Se20 Se 0.000 0.494 0.804
Se21 Se 0.500 0.683 0.896
Se22 Se 0.500 0.819 0.104
Se23 Se 0.000 0.181 0.604
Se24 Se 0.000 0.317 0.396
```

***

[2]
The following is a SCAN calculation of a PBEsol-optimized structure of Ca2Mg2Zn, from Alexandria.

Computed properties:
Space-group type: No. 71
Formation energy from the elements: -0.42 eV per formula unit
Total magnetization: 0.037 μB/atom
Calculated total energy: -8.64 eV/atom
Excess energy over the best structure of this formula in the dataset: 0.054 eV per atom

Geometry as CIF:
```
data_Ca2Mg2Zn
_chemical_formula_sum 'Ca2 Mg2 Zn1'
_cell_length_a 4.620
_cell_length_b 5.969
_cell_length_c 6.243
_cell_angle_alpha 118.56
_cell_angle_beta 111.72
_cell_angle_gamma 90.00
_symmetry_space_group_name_H-M 'P 1'
_symmetry_Int_Tables_number 1
loop_
_symmetry_equiv_pos_as_xyz
'x,y,z'
loop_
_atom_site_label
_atom_site_type_symbol
_atom_site_fract_x
_atom_site_fract_y
_atom_site_fract_z
Mg1 Mg 0.500 0.750 0.000
Mg2 Mg 0.500 0.250 0.000
Ca1 Ca 0.804 0.304 0.608
Ca2 Ca 0.196 0.696 0.392
Zn1 Zn 0.000 0.000 0.000
```

***

[3]
The following is a SCAN calculation of a PBEsol-optimized structure of CaScTe2N, from Alexandria.

Computed properties:
Space-group type: No. 123
Total magnetization: 0.400 μB/atom
Formation energy (no corrections): 169.1 meV/atom
Calculated total energy: -21.37 eV/atom

Geometry as CIF:
```
data_CaScTe2N
_chemical_formula_sum 'Ca1 Sc1 Te2 N1'
_cell_length_a 4.250
_cell_length_b 5.693
_cell_length_c 5.693
_cell_angle_alpha 90.00
_cell_angle_beta 90.00
_cell_angle_gamma 90.00
_symmetry_space_group_name_H-M 'P 1'
_symmetry_Int_Tables_number 1
loop_
_symmetry_equiv_pos_as_xyz
'x,y,z'
loop_
_atom_site_label
_atom_site_type_symbol
_atom_site_fract_x
_atom_site_fract_y
_atom_site_fract_z
Sc1 Sc 0.500 0.500 0.500
Ca1 Ca 0.000 0.000 0.000
Te1 Te 0.000 0.000 0.500
Te2 Te 0.000 0.500 0.000
N1 N 0.500 0.000 0.000
```

***

[4]
The following is a SCAN calculation of a PBEsol-optimized structure of KHg2As, from Alexandria.

Computed properties:
Space-group type: No. 99
Formation energy from the elements: -0.45 eV per formula unit
Total magnetization: 0.000 μB/atom
Calculated total energy: -41.33 eV/atom

Geometry as CIF:
```
data_KHg2As
_chemical_formula_sum 'K1 Hg2 As1'
_cell_length_a 3.735
_cell_length_b 3.735
_cell_length_c 7.719
_cell_angle_alpha 90.00
_cell_angle_beta 90.00
_cell_angle_gamma 90.00
_symmetry_space_group_name_H-M 'P 1'
_symmetry_Int_Tables_number 1
loop_
_symmetry_equiv_pos_as_xyz
'x,y,z'
loop_
_atom_site_label
_atom_site_type_symbol
_atom_site_fract_x
_atom_site_fract_y
_atom_site_fract_z
As1 As 0.500 0.500 0.832
Hg1 Hg 0.000 0.000 0.944
Hg2 Hg 0.500 0.500 0.215
K1 K 0.000 0.000 0.509
```

***

[5]
The following is a SCAN calculation of a PBEsol-optimized structure of LiBe2Pt, from Alexandria.

Computed properties:
Space-group type: No. 44
Formation energy from the elements: -2.20 eV per formula unit
Total magnetization: 0.001 μB/atom
Calculated total energy: -20.87 eV/atom

Geometry as CIF:
```
data_LiBe2Pt
_chemical_formula_sum 'Li1 Be2 Pt1'
_cell_length_a 2.758
_cell_length_b 3.843
_cell_length_c 4.608
_cell_angle_alpha 114.65
_cell_angle_beta 107.41
_cell_angle_gamma 90.00
_symmetry_space_group_name_H-M 'P 1'
_symmetry_Int_Tables_number 1
loop_
_symmetry_equiv_pos_as_xyz
'x,y,z'
loop_
_atom_site_label
_atom_site_type_symbol
_atom_site_fract_x
_atom_site_fract_y
_atom_site_fract_z
Be1 Be 0.992 0.992 0.983
Be2 Be 0.269 0.769 0.539
Pt1 Pt 0.734 0.234 0.468
Li1 Li 0.505 0.505 0.011
```

***

[6]
The following is a SCAN calculation of a PBEsol-optimized structure of Cs2TlSbF6, from Alexandria.

Computed properties:
Space-group type: No. 225
Total magnetization: 0.000 μB/atom
Formation energy (no corrections): -2502.9 meV/atom
Calculated total energy: -23.15 eV/atom

Geometry as CIF:
```
data_Cs2TlSbF6
_chemical_formula_sum 'Cs2 Tl1 Sb1 F6'
_cell_length_a 6.793
_cell_length_b 6.793
_cell_length_c 6.793
_cell_angle_alpha 60.00
_cell_angle_beta 60.00
_cell_angle_gamma 60.00
_symmetry_space_group_name_H-M 'P 1'
_symmetry_Int_Tables_number 1
loop_
_symmetry_equiv_pos_as_xyz
'x,y,z'
loop_
_atom_site_label
_atom_site_type_symbol
_atom_site_fract_x
_atom_site_fract_y
_atom_site_fract_z
Cs1 Cs 0.750 0.750 0.750
Cs2 Cs 0.250 0.250 0.250
Sb1 Sb 0.000 0.000 0.000
Tl1 Tl 0.500 0.500 0.500
F1 F 0.227 0.773 0.773
F2 F 0.773 0.227 0.773
F3 F 0.227 0.773 0.227
F4 F 0.773 0.227 0.227
F5 F 0.773 0.773 0.227
F6 F 0.227 0.227 0.773
```

***

[7]
The following is a SCAN calculation of a PBEsol-optimized structure of Re12Mo17, from Alexandria.

Computed properties:
Space-group type: No. 217
Formation energy from the elements: 0.91 eV per formula unit
Total magnetization: 0.000 μB/atom
Calculated total energy: -49.84 eV/atom

Geometry as CIF:
```
data_Re12Mo17
_chemical_formula_sum 'Re12 Mo17'
_cell_length_a 8.330
_cell_length_b 8.330
_cell_length_c 8.330
_cell_angle_alpha 109.47
_cell_angle_beta 109.47
_cell_angle_gamma 109.47
_symmetry_space_group_name_H-M 'P 1'
_symmetry_Int_Tables_number 1
loop_
_symmetry_equiv_pos_as_xyz
'x,y,z'
loop_
_atom_site_label
_atom_site_type_symbol
_atom_site_fract_x
_atom_site_fract_y
_atom_site_fract_z
Mo1 Mo 0.720 0.406 0.406
Mo2 Mo 0.280 0.686 0.686
Mo3 Mo 0.000 0.314 0.594
Mo4 Mo 0.000 0.594 0.314
Mo5 Mo 0.406 0.720 0.406
Mo6 Mo 0.686 0.280 0.686
Mo7 Mo 0.594 0.000 0.314
Mo8 Mo 0.314 0.000 0.594
Mo9 Mo 0.406 0.406 0.720
Mo10 Mo 0.686 0.686 0.280
Mo11 Mo 0.314 0.594 0.000
Mo12 Mo 0.594 0.314 0.000
Mo13 Mo 0.646 0.646 0.646
Mo14 Mo 0.354 0.000 0.000
Mo15 Mo 0.000 0.000 0.354
Mo16 Mo 0.000 0.354 0.000
Mo17 Mo 0.000 0.000 0.000
Re1 Re 0.185 0.377 0.377
Re2 Re 0.815 0.192 0.192
Re3 Re 0.000 0.808 0.623
Re4 Re 0.000 0.623 0.808
Re5 Re 0.377 0.185 0.377
Re6 Re 0.192 0.815 0.192
Re7 Re 0.623 0.000 0.808
Re8 Re 0.808 0.000 0.623
Re9 Re 0.377 0.377 0.185
Re10 Re 0.192 0.192 0.815
Re11 Re 0.808 0.623 0.000
Re12 Re 0.623 0.808 0.000
```

***

[8]
The following is a SCAN calculation of a PBEsol-optimized structure of Zr2TlAu, from Alexandria.

Computed properties:
Space-group type: No. 25
Formation energy from the elements: -1.61 eV per formula unit
Total magnetization: 0.000 μB/atom
Calculated total energy: -51.13 eV/atom

Geometry as CIF:
```
data_Zr2TlAu
_chemical_formula_sum 'Zr2 Tl1 Au1'
_cell_length_a 3.157
_cell_length_b 4.988
_cell_length_c 5.165
_cell_angle_alpha 90.00
_cell_angle_beta 89.97
_cell_angle_gamma 90.00
_symmetry_space_group_name_H-M 'P 1'
_symmetry_Int_Tables_number 1
loop_
_symmetry_equiv_pos_as_xyz
'x,y,z'
loop_
_atom_site_label
_atom_site_type_symbol
_atom_site_fract_x
_atom_site_fract_y
_atom_site_fract_z
Tl1 Tl 0.375 0.500 0.813
Au1 Au 0.375 0.000 0.442
Zr1 Zr 0.875 0.000 0.930
Zr2 Zr 0.875 0.500 0.315
```

***

Q: What is the total magnetization in the fourth record?
A: 0.000 μB/atom

***

Q: What is the total magnetization in the first record?
A: 0.000 μB/atom

***

Q: The lowest calculated total energy belongs to which entry?
A: Zr2TlAu